Rb3ClF2: relaxed, PBE.

Values from the calculation:
Distance to the lowest polymorph of the same formula = 0 meV per atom
ΔE_f (raw) = -2.400 eV/atom
DOS at the Fermi energy = 0.00 states/eV/cell

Cell: 4.334 5.600 14.458 Å, 90.00 90.00 90.00°
Element x y z (fractional)
Rb1 0.000 0.000 0.000
Rb2 0.000 0.500 0.194
Rb3 0.000 0.500 0.806
Rb4 0.500 0.000 0.306
Rb5 0.500 0.000 0.694
Rb6 0.500 0.500 0.500
Cl1 0.000 0.000 0.500
Cl2 0.500 0.500 0.000
F1 0.000 0.000 0.188
F2 0.000 0.000 0.812
F3 0.500 0.500 0.312
F4 0.500 0.500 0.688